YTc3As: optimized geometry, PBE.

The structure in POSCAR format:
```
YTc3As
1.0
-3.461 -2.859 1.093
-0.438 -1.170 -4.448
3.029 -3.436 0.605
Y As Tc
1 1 3
Cartesian
-0.435 -3.732 -1.375 Y
0.000 0.000 0.000 As
-0.219 -0.585 -2.224 Tc
1.514 -1.718 0.303 Tc
-1.731 -1.429 0.546 Tc
```

Computed properties:
space group: Pm-3m, No. 221
excess energy over the best structure of this formula in the dataset: 0 meV per atom
M_tot: 2.06 μB/f.u.
ΔE_f: 43 kJ per mole of atoms